5
Lattice="4.589 0.000 0.000 0.000 4.589 0.000 0.000 0.000 4.589" Properties=species:S:1:pos:R:3 comment="Ti3OsW | Alexandria via LeMat-Bulk | PBEsol | optimized geometry" n_ef_per_ev_cell=7.094 magnetic_moment_mub_per_fu=0.0 polymorph_energy_mev_per_atom=0 formation_energy_ev_per_fu=5.4 sg=Pm-3m pbc="T T T"
Os 0.000 0.000 0.000
W 2.295 2.295 2.295
Ti 0.000 2.295 0.000
Ti 0.000 0.000 2.295
Ti 2.295 0.000 0.000